First-principles (GGA+U) data for a relaxed CaNiN2F crystal, as listed in Alexandria via LeMat-Bulk.

## Properties
**Volume**: 92.7 Å³ per cell
**Space group**: No. 123
**D(E_F)**: 1.75 states/eV/cell
**Polymorph energy (0 for the lowest one)**: 1.0200 eV per atom
**DFT total energy**: -3.83 eV per atom
**Crystal system**: tetragonal

Lattice parameters (Å, degrees): 4.6806 4.6806 4.2300 90.00 90.00 90.00
Last column: magnetic moment on the atom in μB.
Positions (direct):
N 0.0000 0.5000 0.0000  1.30
N 0.5000 0.0000 0.0000  1.30
Ca 0.0000 0.0000 0.0000  0.04
F 0.0000 0.0000 0.5000  0.06
Ni 0.5000 0.5000 0.5000  1.06